! PBE-GGA CoAgAs2, relaxed; values from VASP
&SYSTEM
  ibrav = 0, nat = 4, ntyp = 3
/
ATOMIC_SPECIES
As 74.92 As.upf
Co 58.93 Co.upf
Ag 107.87 Ag.upf
ATOMIC_POSITIONS crystal
As 0.0000 0.0000 0.0000
As 0.2500 0.2500 0.2500
Co 0.7500 0.7500 0.7500
Ag 0.5000 0.5000 0.5000
CELL_PARAMETERS angstrom
4.5583 0.0000 0.0000
2.2791 3.9476 0.0000
2.2791 1.3159 3.7218
! Crystal system: cubic
! Space-group type: No. 216
! Formation energy from the elements in meV/atom: 539
! Total magnetic moment in μB per formula unit: 1.243
! Offset from the most stable computed form in eV per atom: 0.5133
! Energy in eV/atom: -4.27



! PBE-GGA GaSiNO2, relaxed; values from VASP
&SYSTEM
  ibrav = 0, nat = 5, ntyp = 4
/
ATOMIC_SPECIES
Si 28.09 Si.upf
N 14.01 N.upf
O 16.00 O.upf
Ga 69.72 Ga.upf
ATOMIC_POSITIONS crystal
Si 0.0000 0.0000 0.0000
N 0.0000 0.0000 0.5000
O 0.0000 0.5000 0.0000
O 0.5000 0.0000 0.0000
Ga 0.5000 0.5000 0.5000
CELL_PARAMETERS angstrom
3.3782 0.0000 0.0000
0.0000 3.3782 0.0000
0.0000 0.0000 4.1212
! Crystal system: tetragonal
! Space-group type: No. 123
! Total magnetic moment in μB per formula unit: 0.000
! Formation energy from raw total energies in eV per atom: -0.905
! Energy in eV/atom: -6.24